LaTaIn2 (PBE-GGA, relaxed); calculated density = 9.319 g cm⁻³; DOS at the Fermi energy = 1.24 states/eV per atom; calculated volume = 97.9 Å³ per cell; ΔH_f (0 K) = 1.84 eV/f.u.
1.0
0.000 3.658 3.658
3.658 0.000 3.658
3.658 3.658 0.000
La Ta In
1 1 2
direct
0.000 0.000 0.000 La
0.750 0.750 0.750 Ta
0.250 0.250 0.250 In
0.500 0.500 0.500 In

Pm8Sn5Sb (PBE-GGA, relaxed); calculated density = 7.215 g cm⁻³; DOS at the Fermi energy = 0.56 states/eV per atom; calculated volume = 431.6 Å³ per cell; formation energy without anion corrections = -0.8036 eV per atom
1.0
-4.762 4.762 4.759
4.762 -4.762 4.759
4.762 4.762 -4.759
Pm Sn Sb
8 5 1
direct
0.014 0.124 0.750 Pm
0.235 0.484 0.609 Pm
0.374 0.265 0.250 Pm
0.375 0.765 0.249 Pm
0.516 0.125 0.751 Pm
0.735 0.986 0.110 Pm
0.875 0.625 0.391 Pm
0.876 0.626 0.890 Pm
0.000 0.376 0.125 Sn
0.125 0.000 0.376 Sn
0.251 0.875 0.875 Sn
0.624 0.749 0.624 Sn
0.750 0.250 0.500 Sn
0.500 0.500 0.000 Sb

BaLi2Co (PBE-GGA, relaxed); calculated density = 3.606 g cm⁻³; DOS at the Fermi energy = 1.23 states/eV per atom; calculated volume = 96.8 Å³ per cell; energy above the lowest structure with this stoichiometry = 18.5 kJ/mol of atoms; ΔH_f (0 K) = 2.19 eV/f.u.
1.0
2.923 -5.439 0.000
2.923 5.439 0.000
-2.283 0.000 3.043
Ba Li Co
1 2 1
direct
0.000 0.000 0.000 Ba
0.000 0.500 0.500 Li
0.500 0.000 0.500 Li
0.500 0.500 0.000 Co

RbSrAc2Te4 (PBE-GGA, relaxed); calculated density = 5.893 g cm⁻³; DOS at the Fermi energy = 0.38 states/eV per atom; calculated volume = 641.0 Å³ per cell; formation energy without anion corrections = -1.5129 eV per atom
1.0
-4.801 4.881 6.839
4.801 -4.881 6.839
4.801 4.881 -6.839
Rb Sr Ac Te
2 2 4 8
direct
0.500 0.000 0.000 Rb
0.500 0.500 0.500 Rb
0.000 0.000 0.000 Sr
0.500 0.000 0.500 Sr
0.000 0.000 0.500 Ac
0.000 0.500 0.000 Ac
0.000 0.500 0.500 Ac
0.500 0.500 0.000 Ac
0.233 0.748 0.485 Te
0.237 0.252 0.985 Te
0.244 0.245 0.501 Te
0.244 0.743 0.999 Te
0.756 0.257 0.001 Te
0.756 0.755 0.499 Te
0.763 0.748 0.015 Te
0.767 0.252 0.515 Te

TbErTm2P4 (PBE-GGA, relaxed); calculated density = 7.374 g cm⁻³; DOS at the Fermi energy = 0.12 states/eV per atom; calculated volume = 177.4 Å³ per cell; ΔH_f (0 K) = -12.87 eV/f.u.
1.0
6.881 0.000 0.000
0.000 3.975 0.000
-2.293 0.000 6.488
Tb Er Tm P
1 1 2 4
direct
0.000 0.000 0.000 Tb
0.000 0.500 0.500 Er
0.500 0.000 0.500 Tm
0.500 0.500 0.000 Tm
0.252 0.000 0.749 P
0.254 0.500 0.253 P
0.746 0.500 0.747 P
0.748 0.000 0.251 P

Er2Tc3W (PBE-GGA, relaxed); calculated density = 12.007 g cm⁻³; DOS at the Fermi energy = 0.84 states/eV per atom; calculated volume = 112.4 Å³ per cell; ΔH_f (0 K) = -0.92 eV/f.u.
1.0
4.621 -2.734 0.000
4.621 2.734 0.000
-3.022 0.000 4.446
Er Tc W
2 3 1
direct
0.125 0.125 0.375 Er
0.875 0.875 0.625 Er
0.000 0.500 0.000 Tc
0.500 0.000 0.000 Tc
0.500 0.500 0.500 Tc
0.500 0.500 0.000 W